# 1
Computed, not measured: crystalline MgTl2Zn2 at its relaxed geometry at the PBE-GGA level of DFT.

a b c (Å): 3.6530 3.6530 9.1703
angles (deg): 78.51 78.51 90.00
Fractional positions:
Zn 0.7500 0.2500 0.5000
Mg 0.0000 0.0000 0.0000
Tl 0.6080 0.6080 0.7840
Zn 0.2500 0.7500 0.5000
Tl 0.3920 0.3920 0.2160

Results
Distance to the lowest polymorph of the same formula = 0.25 kcal/mol of atoms
Space-group type = I4/mmm (139)
Total magnetization = 0.0 μB/cell

***

# 2
Computed, not measured: crystalline Mg2TlZn at its relaxed geometry at the PBE-GGA level of DFT.

a b c (Å): 3.4986 4.0780 6.2159
angles (deg): 90.00 90.00 90.00
Fractional positions:
Zn 0.5000 0.5000 0.7750
Tl 0.0000 0.0000 0.5003
Mg 0.5000 0.5000 0.2466
Mg 0.0000 0.0000 0.9781

Results
Space-group type = Pmm2 (25)
Total magnetization = 0.0 μB/cell
E_tot = -1.6835 eV per atom

***

# 3
Computed, not measured: crystalline Mg12Tl3Zn at its relaxed geometry at the PBE-GGA level of DFT.

a b c (Å): 4.4758 4.4758 17.9564
angles (deg): 90.00 90.00 90.00
Fractional positions:
Mg 0.5000 0.5000 0.7566
Mg 0.5000 0.5000 0.5000
Tl 0.0000 0.0000 0.2439
Mg 0.5000 0.0000 0.1150
Mg 0.0000 0.5000 0.8850
Mg 0.5000 0.0000 0.6279
Mg 0.5000 0.0000 0.8850
Mg 0.5000 0.5000 0.0000
Mg 0.0000 0.5000 0.6279
Tl 0.0000 0.0000 0.7561
Mg 0.5000 0.5000 0.2434
Mg 0.0000 0.5000 0.3721
Mg 0.0000 0.5000 0.1150
Mg 0.5000 0.0000 0.3721
Zn 0.0000 0.0000 0.0000
Tl 0.0000 0.0000 0.5000

Results
Space-group type = P4/mmm (123)
Total magnetization = 0.0 μB/cell
E_tot = -1.7512 eV per atom

***

# 4
Computed, not measured: crystalline Mg4Tl2Zn at its relaxed geometry at the PBE-GGA level of DFT.

a b c (Å): 7.8357 7.8380 7.2949
angles (deg): 110.94 110.90 109.60
Fractional positions:
Mg 0.3508 0.0870 0.3795
Zn 0.9964 0.9966 0.9999
Mg 0.0560 0.6541 0.7823
Mg 0.3344 0.0984 0.8795
Tl 0.6447 0.4908 0.3659
Mg 0.9059 0.8095 0.2812
Zn 0.2457 0.7457 0.4998
Mg 0.2192 0.4551 0.1204
Tl 0.5254 0.8706 0.1318
Mg 0.8722 0.2739 0.2182
Mg 0.7078 0.9713 0.6203
Mg 0.5279 0.6247 0.7185
Tl 0.1253 0.2790 0.6343
Tl 0.7383 0.3933 0.8683

Results
Space-group type = C2 (5)
Total magnetization = 0.0 μB/cell
E_tot = -1.7480 eV per atom

***

# 5
Computed, not measured: crystalline Mg5TlZn at its relaxed geometry at the PBE-GGA level of DFT.

a b c (Å): 4.5422 4.5422 7.8286
angles (deg): 90.00 90.00 90.00
Fractional positions:
Mg 0.5000 0.0000 0.2967
Tl 0.0000 0.0000 0.0000
Mg 0.5000 0.0000 0.7033
Zn 0.0000 0.0000 0.5000
Mg 0.0000 0.5000 0.7033
Mg 0.0000 0.5000 0.2967
Mg 0.5000 0.5000 0.0000

Results
Distance to the lowest polymorph of the same formula = 0.00 kcal/mol of atoms
Space-group type = P4/mmm (123)
Total magnetization = 0.0 μB/cell

***

# 6
Computed, not measured: crystalline Mg4TlZn2 at its relaxed geometry at the PBE-GGA level of DFT.

a b c (Å): 4.8157 4.8096 14.5821
angles (deg): 90.00 90.00 120.04
Fractional positions:
Mg 0.5000 0.0000 0.0000
Mg 0.1675 0.3351 0.6348
Tl 0.5007 0.0014 0.7500
Mg 0.5000 0.0000 0.5000
Mg 0.1658 0.3316 0.2500
Zn 0.8341 0.6682 0.5562
Mg 0.8342 0.6684 0.7500
Mg 0.8325 0.6649 0.1348
Tl 0.4993 0.9986 0.2500
Zn 0.1659 0.3318 0.0562
Mg 0.8325 0.6649 0.3652
Zn 0.8341 0.6682 0.9438
Mg 0.1675 0.3351 0.8652
Zn 0.1659 0.3318 0.4438

Results
Space-group type = Cmcm (63)
Total magnetization = 0.0 μB/cell
E_tot = -1.6384 eV per atom

***

# 7
Computed, not measured: crystalline Mg2TlZn at its relaxed geometry at the PBE-GGA level of DFT.

a b c (Å): 5.0318 5.0318 5.0318
angles (deg): 60.00 60.00 60.00
Fractional positions:
Tl 0.5000 0.5000 0.5000
Zn 0.7500 0.7500 0.7500
Mg 0.0000 0.0000 0.0000
Mg 0.2500 0.2500 0.2500

Results
Space-group type = F-43m (216)
Total magnetization = 0.0 μB/cell
E_tot = -1.6239 eV per atom

***

# 8
Computed, not measured: crystalline Mg6TlZn2 at its relaxed geometry at the PBE-GGA level of DFT.

a b c (Å): 7.9745 7.9745 7.9745
angles (deg): 104.94 110.27 113.31
Fractional positions:
Zn 0.6488 0.6488 0.0000
Mg 0.7120 0.3247 0.0367
Mg 0.7914 0.0437 0.2523
Tl 0.0000 0.0000 0.0000
Mg 0.5281 0.8099 0.7182
Zn 0.5000 0.1285 0.6285
Mg 0.7914 0.5391 0.7477
Zn 0.5000 0.8715 0.3715
Mg 0.2086 0.4609 0.2523
Zn 0.3512 0.3512 0.0000
Mg 0.7120 0.6753 0.3873
Mg 0.2880 0.6753 0.9633
Mg 0.2086 0.9563 0.7477
Mg 0.4719 0.1901 0.2818
Mg 0.2880 0.3247 0.6127
Mg 0.0917 0.8099 0.2818
Tl 0.0000 0.5000 0.5000
Mg 0.9083 0.1901 0.7182

Results
Space-group type = Immm (71)
Total magnetization = 0.0 μB/cell
E_tot = -1.6445 eV per atom